No. 1
## NiRhBr2 (PBE)

Data for NiRhBr2 after structural relaxation.

## Properties
The uncorrected formation energy comes out at 946.4 meV/atom. The total energy is -12.693 eV per cell. For the density of states at the Fermi level, the calculation gives 7.9 states/eV/f.u. The total magnetization is 2.53 Bohr magnetons per cell. The value obtained for the energy above the lowest structure with this stoichiometry is 22.507 kcal/mol of atoms. The space group is F-43m, No. 216.

abc: 4.7337 4.7337 4.7337
angles: 60.00 60.00 60.00
Atoms (fractional coordinates):
1 Rh 0.2500 0.2500 0.2500
2 Ni 0.5000 0.5000 0.5000
3 Br 0.0000 0.0000 0.0000
4 Br 0.7500 0.7500 0.7500



No. 2
## NiRhBr2 (PBE)

Data for NiRhBr2 after structural relaxation.

## Properties
The uncorrected formation energy comes out at 232.8 meV/atom. The total energy is -15.547 eV per cell. For the density of states at the Fermi level, the calculation gives 5.1 states/eV/f.u. The total magnetization is 1.69 Bohr magnetons per cell. The value obtained for the energy above the lowest structure with this stoichiometry is 6.051 kcal/mol of atoms. The space group is Cmm2, No. 35.

abc: 3.6109 3.6109 7.9636
angles: 90.00 90.00 114.79
Atoms (fractional coordinates):
1 Br 0.5000 0.5000 0.3581
2 Br 0.0000 0.0000 0.9101
3 Rh 0.5000 0.5000 0.6988
4 Ni 0.0000 0.0000 0.5330



Question: energy above the lowest structure with this stoichiometry of number 2 (NiRhBr2)?
Answer: 6.051 kcal/mol of atoms